[1]
A plane-wave DFT calculation with PBE was carried out for a geometry-optimized BaSr2Eu structure.

Cell lengths 4.239, 4.239, 14.130 Å; angles 81.37, 81.37, 60.00 degrees
Element x y z (fractional)
Ba1 0.500 0.500 0.500
Eu1 0.000 0.000 0.000
Sr1 0.747 0.747 0.760
Sr2 0.253 0.253 0.240

Summary:
Theoretical density = 3.6 Mg/m³
V = 54.1 Å³/atom
Total moment = 7.474 μB/cell
Offset from the most stable computed form = 8 meV per atom
Formation energy from the elements = 32 meV per atom
Total energy = -3.858 eV per atom

---

[2]
A plane-wave DFT calculation with PBE was carried out for a geometry-optimized TiOsN2O structure.

Cell lengths 3.820, 3.820, 3.926 Å; angles 90.00, 90.00, 90.00 degrees
Element x y z (fractional)
N1 0.000 0.500 0.000
N2 0.500 0.000 0.000
O1 0.000 0.000 0.500
Os1 0.000 0.000 0.000
Ti1 0.500 0.500 0.500

Summary:
Theoretical density = 8.2 Mg/m³
V = 11.5 Å³/atom
Total moment = 0.000 μB/cell
Total energy = -7.980 eV per atom
Uncorrected formation energy = 81 kJ/mol of formula units

---

[3]
A plane-wave DFT calculation with PBE was carried out for a geometry-optimized SiSe2Br structure.

Cell lengths 4.607, 3.669, 8.069 Å; angles 67.20, 90.00, 90.00 degrees
Element x y z (fractional)
Se1 0.000 0.997 0.097
Se2 0.500 0.089 0.404
Br1 0.500 0.090 0.699
Si1 0.000 0.324 0.300

Summary:
Theoretical density = 3.5 Mg/m³
V = 31.4 Å³/atom
Total moment = 0.000 μB/cell
Offset from the most stable computed form = 88 meV per atom
Total energy = -3.541 eV per atom
Uncorrected formation energy = -9 kJ/mol of formula units

---

[4]
A plane-wave DFT calculation with PBE was carried out for a geometry-optimized Pu2MnAlGe6 structure.

Cell lengths 6.231, 6.231, 12.187 Å; angles 75.19, 75.19, 60.00 degrees
Element x y z (fractional)
Ge1 0.332 0.332 0.404
Ge2 0.669 0.224 0.882
Ge3 0.331 0.776 0.118
Ge4 0.069 0.668 0.596
Ge5 0.224 0.669 0.882
Ge6 0.776 0.331 0.118
Ge7 0.332 0.931 0.404
Ge8 0.668 0.668 0.596
Ge9 0.668 0.069 0.596
Ge10 0.776 0.776 0.118
Ge11 0.931 0.332 0.404
Ge12 0.224 0.224 0.882
Mn1 0.000 0.000 0.000
Mn2 0.500 0.500 0.500
Pu1 0.110 0.110 0.669
Pu2 0.292 0.292 0.125
Pu3 0.890 0.890 0.331
Pu4 0.708 0.708 0.875
Al1 0.429 0.429 0.714
Al2 0.571 0.571 0.286

Summary:
Theoretical density = 8.5 Mg/m³
V = 19.6 Å³/atom
Total moment = 23.835 μB/cell
Formation energy from the elements = -142 meV per atom
Total energy = -7.070 eV per atom

---

[5]
A plane-wave DFT calculation with PBE was carried out for a geometry-optimized RbY2Fe structure.

Cell lengths 5.270, 5.270, 5.270 Å; angles 60.00, 60.00, 60.00 degrees
Element x y z (fractional)
Rb1 0.500 0.500 0.500
Y1 0.750 0.750 0.750
Y2 0.250 0.250 0.250
Fe1 0.000 0.000 0.000

Summary:
Theoretical density = 5.1 Mg/m³
V = 25.9 Å³/atom
Total moment = 0.000 μB/cell
Offset from the most stable computed form = 334 meV per atom
Formation energy from the elements = 948 meV per atom
Total energy = -4.641 eV per atom

---

[6]
A plane-wave DFT calculation with PBE was carried out for a geometry-optimized Cs2ZnPd3F12 structure.

Cell lengths 7.530, 7.530, 7.530 Å; angles 63.25, 63.25, 63.25 degrees
Element x y z (fractional)
Pd1 0.000 0.500 0.000
Pd2 0.000 0.000 0.500
Pd3 0.500 0.000 0.000
Zn1 0.000 0.000 0.000
F1 0.683 0.061 0.683
F2 0.317 0.317 0.939
F3 0.683 0.072 0.072
F4 0.928 0.317 0.928
F5 0.072 0.683 0.072
F6 0.939 0.317 0.317
F7 0.683 0.683 0.061
F8 0.928 0.928 0.317
F9 0.317 0.939 0.317
F10 0.317 0.928 0.928
F11 0.072 0.072 0.683
F12 0.061 0.683 0.683
Cs1 0.367 0.367 0.367
Cs2 0.633 0.633 0.633

Summary:
Theoretical density = 4.5 Mg/m³
V = 18.0 Å³/atom
Total moment = 0.000 μB/cell
Total energy = -4.109 eV per atom
Uncorrected formation energy = -3178 kJ/mol of formula units

---

[7]
A plane-wave DFT calculation with PBE was carried out for a geometry-optimized BaLaGaN2 structure.

Cell lengths 5.447, 5.952, 7.339 Å; angles 90.01, 90.00, 90.00 degrees
Element x y z (fractional)
Ba1 0.000 0.500 0.750
Ba2 0.000 0.500 0.250
N1 0.270 0.198 0.000
N2 0.730 0.802 0.000
N3 0.730 0.198 0.500
N4 0.270 0.802 0.500
La1 0.500 0.000 0.750
La2 0.500 0.000 0.250
Ga1 0.000 0.000 0.500
Ga2 0.000 0.000 0.000

Summary:
Theoretical density = 5.2 Mg/m³
V = 23.8 Å³/atom
Total moment = 0.001 μB/cell
Total energy = -5.754 eV per atom
Uncorrected formation energy = -216 kJ/mol of formula units

---

[8]
A plane-wave DFT calculation with PBE was carried out for a geometry-optimized Rb3CdO structure.

Cell lengths 5.775, 5.775, 5.775 Å; angles 90.00, 90.00, 90.00 degrees
Element x y z (fractional)
Rb1 0.000 0.500 0.000
Rb2 0.000 0.000 0.500
Rb3 0.500 0.000 0.000
O1 0.000 0.000 0.000
Cd1 0.500 0.500 0.500

Summary:
Theoretical density = 3.3 Mg/m³
V = 38.5 Å³/atom
Total moment = 0.000 μB/cell
Offset from the most stable computed form = 66 meV per atom
Total energy = -2.242 eV per atom
Uncorrected formation energy = -235 kJ/mol of formula units

---

[9]
A plane-wave DFT calculation with PBE was carried out for a geometry-optimized CuAuN2 structure.

Cell lengths 5.011, 5.011, 5.369 Å; angles 62.18, 62.18, 90.00 degrees
Element x y z (fractional)
N1 0.875 0.839 0.750
N2 0.161 0.625 0.250
N3 0.375 0.411 0.750
N4 0.589 0.125 0.250
Cu1 0.250 0.750 0.500
Cu2 0.500 0.500 0.000
Au1 0.000 0.000 0.000
Au2 0.750 0.250 0.500

Summary:
Theoretical density = 9.5 Mg/m³
V = 12.7 Å³/atom
Total moment = 0.000 μB/cell
Offset from the most stable computed form = 268 meV per atom
Total energy = -4.677 eV per atom
Uncorrected formation energy = 513 kJ/mol of formula units

---

[10]
A plane-wave DFT calculation with PBE was carried out for a geometry-optimized Rb3Ac2CdS6 structure.

Cell lengths 7.477, 7.477, 8.176 Å; angles 98.75, 98.75, 119.98 degrees
Element x y z (fractional)
Cd1 0.000 0.000 0.000
Ac1 0.333 0.667 0.000
Ac2 0.667 0.333 0.000
S1 0.614 0.932 0.797
S2 0.068 0.386 0.203
S3 0.932 0.614 0.797
S4 0.386 0.068 0.203
S5 0.251 0.251 0.799
S6 0.749 0.749 0.201
Rb1 0.500 0.500 0.500
Rb2 0.835 0.165 0.500
Rb3 0.165 0.835 0.500

Summary:
Theoretical density = 4.5 Mg/m³
V = 31.4 Å³/atom
Total moment = 1.216 μB/cell
Total energy = -4.437 eV per atom
Uncorrected formation energy = -1586 kJ/mol of formula units

---

[11]
A plane-wave DFT calculation with PBE was carried out for a geometry-optimized Cs2PuAuBr6 structure.

Cell lengths 6.744, 8.025, 8.025 Å; angles 120.00, 90.00, 90.00 degrees
Element x y z (fractional)
Br1 0.255 0.830 0.661
Br2 0.745 0.170 0.830
Br3 0.255 0.339 0.170
Br4 0.255 0.830 0.170
Br5 0.745 0.661 0.830
Br6 0.745 0.170 0.339
Pu1 0.500 0.000 0.000
Cs1 0.239 0.333 0.667
Cs2 0.761 0.667 0.333
Au1 0.000 0.000 0.000

Summary:
Theoretical density = 5.2 Mg/m³
V = 37.6 Å³/atom
Total moment = 5.000 μB/cell
Total energy = -4.268 eV per atom
Uncorrected formation energy = -1286 kJ/mol of formula units

---

[12]
A plane-wave DFT calculation with PBE was carried out for a geometry-optimized ZrScSi2 structure.

Cell lengths 3.765, 3.765, 6.861 Å; angles 74.52, 74.52, 59.31 degrees
Element x y z (fractional)
Si1 0.001 0.001 0.997
Si2 0.499 0.499 0.503
Sc1 0.250 0.250 0.250
Zr1 0.750 0.750 0.750

Summary:
Theoretical density = 4.0 Mg/m³
V = 19.9 Å³/atom
Total moment = 0.000 μB/cell
Offset from the most stable computed form = 317 meV per atom
Total energy = -6.991 eV per atom
Uncorrected formation energy = -216 kJ/mol of formula units